# 1
A plane-wave DFT calculation with PBE was carried out for crystalline Np2CN at its relaxed geometry.

```
Np2CN
1.0
3.504 0.000 0.000
1.752 3.035 0.000
1.752 1.012 5.652
Np N C
2 1 1
Cartesian
5.256 3.035 4.263
1.752 1.012 1.389
0.000 0.000 0.000
3.504 2.023 2.826
```

Calculated values
- M_tot (μB per cell) = 6.2
- raw formation energy (meV/atom) = -475
- calculated volume (Å³/cell) = 60.1
- raw total energy (eV for the cell shown) = -45.3
- E above lowest polymorph (eV/f.u.) = 0.00


# 2
A plane-wave DFT calculation with PBE was carried out for crystalline CoMoOs2 at its relaxed geometry.

```
CoMoOs2
1.0
3.773 0.000 0.000
0.000 3.818 0.000
0.000 0.000 3.818
Os Mo Co
2 1 1
Cartesian
0.000 0.000 0.000
0.000 1.909 1.909
1.886 0.000 1.909
1.886 1.909 0.000
```

Calculated values
- M_tot (μB per cell) = 0.0
- calculated volume (Å³/cell) = 55.0
- raw total energy (eV for the cell shown) = -40.3
- ΔE_f (eV/atom) = 0.03
- E above lowest polymorph (eV/f.u.) = 0.00


# 3
A plane-wave DFT calculation with PBE was carried out for crystalline MnMoIr2 at its relaxed geometry.

```
MnMoIr2
1.0
-3.837 2.733 -0.368
-4.218 0.589 -2.045
-2.698 -2.065 3.254
Mn Mo Ir
1 1 2
Cartesian
-5.387 0.576 0.490
-2.691 0.354 0.160
-8.002 0.970 0.582
-0.050 -0.013 0.029
```

Calculated values
- M_tot (μB per cell) = 2.3
- calculated volume (Å³/cell) = 57.7
- raw total energy (eV for the cell shown) = -38.2
- ΔE_f (eV/atom) = -0.12
- E above lowest polymorph (eV/f.u.) = 0.52


# 4
A plane-wave DFT calculation with PBE was carried out for crystalline CaOsSe2 at its relaxed geometry.

```
CaOsSe2
1.0
6.679 0.015 -0.005
4.689 4.756 0.005
-5.625 -2.526 2.567
Se Ca Os
2 1 1
Cartesian
2.060 2.176 1.286
10.656 4.472 0.000
6.183 2.595 0.000
3.895 0.158 1.281
```

Calculated values
- M_tot (μB per cell) = 0.0
- raw formation energy (meV/atom) = -286
- calculated volume (Å³/cell) = 81.4
- raw total energy (eV for the cell shown) = -21.3
- E above lowest polymorph (eV/f.u.) = 1.40


# 5
A plane-wave DFT calculation with PBE was carried out for crystalline La3Er at its relaxed geometry.

```
La3Er
1.0
-1.301 3.439 -0.605
-1.268 -1.549 -6.080
-4.185 -2.734 4.939
La Er
3 1
Cartesian
-3.196 -1.424 -1.222
-3.139 1.094 1.494
-1.284 0.947 -3.336
-1.268 -1.548 -6.078
```

Calculated values
- M_tot (μB per cell) = 0.0
- calculated volume (Å³/cell) = 142.5
- raw total energy (eV for the cell shown) = -19.2
- ΔE_f (eV/atom) = 0.04
- E above lowest polymorph (eV/f.u.) = 0.11


# 6
A plane-wave DFT calculation with PBE was carried out for crystalline MgAl2FeSi at its relaxed geometry.

```
MgAl2FeSi
1.0
4.841 0.000 0.000
0.000 4.384 0.000
0.000 0.000 4.841
Fe Al Si Mg
1 2 1 1
Cartesian
0.000 2.192 0.000
0.000 0.000 2.421
2.421 0.000 0.000
2.421 2.192 2.421
0.000 0.000 0.000
```

Calculated values
- M_tot (μB per cell) = 2.5
- raw formation energy (meV/atom) = 1369
- calculated volume (Å³/cell) = 102.8
- raw total energy (eV for the cell shown) = -16.1


# 7
A plane-wave DFT calculation with PBE was carried out for crystalline KLa2ReO8 at its relaxed geometry.

```
KLa2ReO8
1.0
-1.232 -4.885 -1.914
4.145 -1.282 0.567
0.390 -2.783 6.852
O La Re K
8 2 1 1
Cartesian
-0.075 -4.181 -0.579
2.798 -7.130 5.205
3.024 -4.897 2.928
0.471 -7.452 3.597
0.278 -4.053 2.578
3.377 -4.768 6.085
0.505 -1.820 0.301
2.832 -1.497 1.909
2.039 -3.820 0.843
1.264 -5.129 4.663
0.000 0.000 0.000
0.195 -1.391 3.426
```

Calculated values
- M_tot (μB per cell) = 0.0
- raw formation energy (meV/atom) = -2252
- calculated volume (Å³/cell) = 167.7
- raw total energy (eV for the cell shown) = -90.1


# 8
A plane-wave DFT calculation with PBE was carried out for crystalline NaLiV2 at its relaxed geometry.

```
NaLiV2
1.0
-3.024 1.357 -0.981
-0.693 -2.857 -1.818
-6.700 -5.177 7.401
Li Na V
2 2 4
Cartesian
-1.858 -0.750 -1.400
-4.626 -4.392 2.091
0.000 0.000 0.000
-5.791 -2.285 2.510
-3.978 -2.241 0.107
-6.761 -5.855 3.604
-2.160 -1.473 1.494
-7.936 -3.786 3.998
```

Calculated values
- M_tot (μB per cell) = 0.0
- calculated volume (Å³/cell) = 131.2
- raw total energy (eV for the cell shown) = -36.5
- ΔE_f (eV/atom) = 0.81
- E above lowest polymorph (eV/f.u.) = 0.00


# 9
A plane-wave DFT calculation with PBE was carried out for crystalline BiO2 at its relaxed geometry.

```
BiO2
1.0
3.156 0.585 6.835
5.406 5.200 0.864
-7.224 -1.301 -1.772
Bi O
4 8
Cartesian
0.202 0.571 2.047
-2.851 1.072 -0.335
1.137 3.913 3.879
4.190 3.412 6.261
-0.758 2.925 3.432
-2.875 -0.173 5.009
2.105 2.176 5.127
-0.418 0.876 4.593
4.214 4.657 0.917
2.097 1.559 2.494
-0.766 2.308 0.799
1.757 3.608 1.333
```

Calculated values
- M_tot (μB per cell) = 4.0
- raw formation energy (meV/atom) = -618
- calculated volume (Å³/cell) = 185.1
- raw total energy (eV for the cell shown) = -62.6
- E above lowest polymorph (eV/f.u.) = 1.14


# 10
A plane-wave DFT calculation with PBE was carried out for crystalline LiPuAg2 at its relaxed geometry.

```
LiPuAg2
1.0
5.025 0.000 0.000
2.512 4.351 0.000
2.512 1.450 4.103
Ag Pu Li
2 1 1
Cartesian
7.537 4.351 3.077
2.512 1.450 1.026
0.000 0.000 0.000
5.025 2.901 2.051
```

Calculated values
- M_tot (μB per cell) = 6.0
- calculated volume (Å³/cell) = 89.7
- raw total energy (eV for the cell shown) = -21.5
- ΔE_f (eV/atom) = 0.11
- E above lowest polymorph (eV/f.u.) = 0.77


# 11
A plane-wave DFT calculation with PBE was carried out for crystalline Y3Ge2Au at its relaxed geometry.

```
Y3Ge2Au
1.0
4.323 0.000 0.000
0.000 11.556 0.000
0.000 0.000 11.634
Ge Y Au
8 12 4
Cartesian
3.242 3.574 5.927
3.242 5.688 2.144
1.081 5.868 9.490
3.242 2.204 0.110
1.081 9.351 11.524
1.081 7.982 5.707
1.081 11.466 3.673
3.242 0.090 7.961
1.081 0.743 10.178
1.081 5.035 4.361
3.242 10.813 1.456
1.081 9.360 8.255
3.242 10.133 5.189
3.242 3.582 9.196
3.242 7.200 11.007
3.242 2.196 3.379
1.081 4.355 0.628
1.081 7.974 2.438
3.242 6.521 7.273
1.081 1.423 6.445
3.242 10.026 10.099
1.081 4.248 7.352
3.242 7.308 4.282
1.081 1.530 1.535
```

Calculated values
- M_tot (μB per cell) = 0.0
- calculated volume (Å³/cell) = 581.2
- raw total energy (eV for the cell shown) = -147.4
- ΔE_f (eV/atom) = -0.82


# 12
A plane-wave DFT calculation with PBE was carried out for crystalline Pr6Tm2In3 at its relaxed geometry.

```
Pr6Tm2In3
1.0
-2.858 -4.719 0.496
3.388 -1.624 4.070
-7.633 8.502 5.975
Pr Tm In
6 2 3
Cartesian
-7.362 1.933 6.898
-2.659 -1.056 5.560
0.258 0.227 3.644
-4.239 3.481 8.685
-2.864 -1.321 1.857
-4.445 3.216 4.982
-0.593 -2.550 3.245
-6.510 4.710 7.297
-2.537 1.835 2.843
-4.566 0.324 7.699
0.000 0.000 0.000
```

Calculated values
- M_tot (μB per cell) = 0.0
- calculated volume (Å³/cell) = 376.9
- raw total energy (eV for the cell shown) = -43.8
- ΔE_f (eV/atom) = 0.18


# 13
A plane-wave DFT calculation with PBE was carried out for crystalline MgMoPb2 at its relaxed geometry.

```
MgMoPb2
1.0
3.090 -0.017 0.000
-0.856 2.969 0.000
0.000 0.000 10.713
Mg Pb Mo
1 2 1
Cartesian
0.000 0.000 5.737
1.117 1.476 3.068
0.000 0.000 10.143
1.117 1.476 7.834
```

Calculated values
- M_tot (μB per cell) = 0.0
- calculated volume (Å³/cell) = 98.1
- raw total energy (eV for the cell shown) = -18.1
- ΔE_f (eV/atom) = 0.42


# 14
A plane-wave DFT calculation with PBE was carried out for crystalline DyZn2Cu5 at its relaxed geometry.

```
DyZn2Cu5
1.0
-2.434 2.344 -1.442
-5.040 -3.380 -1.670
-4.848 0.307 4.002
Cu Zn Dy
5 2 1
Cartesian
-7.143 -1.744 -0.141
-7.071 -0.360 1.989
-5.179 1.016 1.031
-4.944 -1.536 1.166
-5.251 -0.369 -1.099
-3.071 -0.175 0.218
-9.251 -0.553 0.672
0.000 0.000 0.000
```

Calculated values
- M_tot (μB per cell) = 0.0
- calculated volume (Å³/cell) = 123.8
- raw total energy (eV for the cell shown) = -28.4
- ΔE_f (eV/atom) = -0.09


# 15
A plane-wave DFT calculation with PBE was carried out for crystalline ZnPd3S at its relaxed geometry.

```
ZnPd3S
1.0
-2.239 -2.181 3.218
3.356 -2.959 0.330
1.962 2.572 3.108
Pd S Zn
3 1 1
Cartesian
1.678 -1.479 0.165
0.981 1.286 1.554
-1.120 -1.090 1.609
0.000 0.000 0.000
1.539 -1.284 3.328
```

Calculated values
- M_tot (μB per cell) = 0.0
- raw formation energy (meV/atom) = -51
- calculated volume (Å³/cell) = 90.3
- raw total energy (eV for the cell shown) = -21.2
- E above lowest polymorph (eV/f.u.) = 0.00


# 16
A plane-wave DFT calculation with PBE was carried out for crystalline Ce3SbAs2Rh9 at its relaxed geometry.

```
Ce3SbAs2Rh9
1.0
6.599 0.000 0.000
-3.299 5.715 0.000
0.000 0.000 8.536
Rh Ce As Sb
9 3 2 1
Cartesian
0.000 1.571 2.167
3.299 0.000 0.000
1.650 2.857 0.000
1.939 4.929 2.167
-1.650 2.857 0.000
-1.939 4.929 2.167
3.299 4.144 6.370
1.360 0.785 6.370
5.238 0.785 6.370
0.000 3.810 6.386
3.299 1.905 2.150
0.000 0.000 0.000
3.299 1.905 6.873
0.000 3.810 1.664
0.000 0.000 4.268
```

Calculated values
- M_tot (μB per cell) = 1.2
- raw formation energy (meV/atom) = -478
- calculated volume (Å³/cell) = 321.9
- raw total energy (eV for the cell shown) = -104.6


# 17
A plane-wave DFT calculation with PBE was carried out for crystalline Ba2AlBr at its relaxed geometry.

```
Ba2AlBr
1.0
-1.687 -3.811 -2.049
0.238 -2.532 4.514
-12.198 5.110 0.536
Al Ba Br
2 4 2
Cartesian
-1.883 -3.890 0.890
-11.763 2.656 2.110
-1.928 -0.473 -0.164
-11.718 -0.760 3.164
-8.345 1.569 1.320
-5.301 -2.802 1.681
-5.134 0.547 0.577
-8.513 -1.781 2.423
```

Calculated values
- M_tot (μB per cell) = 0.0
- raw formation energy (meV/atom) = -854
- calculated volume (Å³/cell) = 312.3
- raw total energy (eV for the cell shown) = -25.4
- E above lowest polymorph (eV/f.u.) = 0.00


# 18
A plane-wave DFT calculation with PBE was carried out for crystalline TlTcAs2 at its relaxed geometry.

```
TlTcAs2
1.0
-2.585 2.213 -5.187
2.820 -4.434 -3.297
-4.556 -4.683 -3.436
As Tc Tl
4 2 2
Cartesian
0.059 -3.458 -4.053
-3.476 -5.041 -9.692
-2.161 -0.549 -4.028
-3.065 -4.760 -6.067
0.117 -1.111 -4.242
-0.809 -5.114 -5.488
0.000 0.000 0.000
-3.512 -1.790 -6.433
```

Calculated values
- M_tot (μB per cell) = 0.0
- calculated volume (Å³/cell) = 228.5
- raw total energy (eV for the cell shown) = -42.4
- ΔE_f (eV/atom) = 0.21
- E above lowest polymorph (eV/f.u.) = 1.31


# 19
A plane-wave DFT calculation with PBE was carried out for crystalline BaTl8Pb4 at its relaxed geometry.

```
BaTl8Pb4
1.0
6.685 0.000 0.000
3.342 8.047 0.000
3.342 0.000 8.047
Pb Tl Ba
4 8 1
Cartesian
1.671 4.024 0.000
5.014 0.000 4.024
1.671 0.000 4.024
5.014 4.024 0.000
3.342 5.183 2.864
6.685 2.864 2.864
6.685 5.183 5.183
6.685 1.701 6.347
3.342 2.864 5.183
6.685 6.347 1.701
10.027 6.347 6.347
3.342 1.701 1.701
0.000 0.000 0.000
```

Calculated values
- M_tot (μB per cell) = 0.0
- calculated volume (Å³/cell) = 432.9
- raw total energy (eV for the cell shown) = -36.6
- ΔE_f (eV/atom) = -0.07


# 20
A plane-wave DFT calculation with PBE was carried out for crystalline MgH2I2 at its relaxed geometry.

```
MgH2I2
1.0
-4.121 -1.559 6.374
-4.280 -4.772 0.672
3.169 -4.045 8.558
I H Mg
4 4 2
Cartesian
-1.983 -3.658 3.379
-1.853 -6.922 8.441
-3.380 -3.454 7.163
-3.250 -6.718 12.225
-6.597 -6.526 8.722
-3.899 -6.497 5.216
-1.334 -3.880 10.388
1.364 -3.850 6.882
-2.982 -4.625 9.810
-2.251 -5.752 5.794
```

Calculated values
- M_tot (μB per cell) = 0.0
- calculated volume (Å³/cell) = 303.4
- raw total energy (eV for the cell shown) = -25.5